No. 1
Computed, not measured: a relaxed structure of Nd4ZnCI2 at the PBE level of DFT.

The structure in POSCAR format:
```
Nd4ZnCI2
1.0
7.402 0.000 0.000
0.000 3.998 0.000
-2.213 0.000 7.822
Nd Zn C I
4 1 1 2
Direct
0.195 0.000 0.175 Nd
0.230 0.500 0.807 Nd
0.770 0.500 0.193 Nd
0.805 0.000 0.825 Nd
0.500 0.000 0.000 Zn
0.000 0.500 0.000 C
0.000 0.000 0.500 I
0.500 0.500 0.500 I
```

total magnetization = 0.000 μB per formula unit
total DFT energy (no corrections) = -4.66 eV/atom
formation energy from raw total energies = -581 meV per atom
space group = P2/m (10)



No. 2
Computed, not measured: a relaxed structure of NiCI3 at the PBE level of DFT.

The structure in POSCAR format:
```
NiCI3
1.0
5.247 0.000 0.000
0.000 5.247 0.000
0.000 0.000 5.247
Ni C I
1 1 3
Direct
0.000 0.000 0.000 Ni
0.500 0.500 0.500 C
0.000 0.000 0.500 I
0.000 0.500 0.000 I
0.500 0.000 0.000 I
```

total magnetization = 1.181 μB per formula unit
total DFT energy (no corrections) = -2.39 eV/atom
energy relative to the lowest polymorph listed for this composition = 0 meV per atom
formation energy from raw total energies = 1543 meV per atom
space group = Pm-3m (221)



No. 3
Computed, not measured: a relaxed structure of Ni3CI at the PBE level of DFT.

The structure in POSCAR format:
```
Ni3CI
1.0
4.621 0.000 0.000
0.000 4.621 0.000
0.000 0.000 4.621
Ni C I
3 1 1
Direct
0.000 0.000 0.500 Ni
0.000 0.500 0.000 Ni
0.500 0.000 0.000 Ni
0.500 0.500 0.500 C
0.000 0.000 0.000 I
```

total magnetization = 0.931 μB per formula unit
total DFT energy (no corrections) = -3.33 eV/atom
energy relative to the lowest polymorph listed for this composition = 1764 meV per atom
formation energy from raw total energies = 2294 meV per atom
space group = Pm-3m (221)



No. 4
Computed, not measured: a relaxed structure of NiCI3 at the PBE level of DFT.

The structure in POSCAR format:
```
NiCI3
1.0
5.021 0.000 0.000
0.000 5.021 0.000
0.000 0.000 5.021
Ni C I
1 1 3
Direct
0.000 0.000 0.000 Ni
0.500 0.500 0.500 C
0.000 0.500 0.500 I
0.500 0.000 0.500 I
0.500 0.500 0.000 I
```

total magnetization = 1.124 μB per formula unit
total DFT energy (no corrections) = -2.38 eV/atom
energy relative to the lowest polymorph listed for this composition = 8 meV per atom
formation energy from raw total energies = 1551 meV per atom
space group = Pm-3m (221)



No. 5
Computed, not measured: a relaxed structure of NiCI2 at the PBE level of DFT.

The structure in POSCAR format:
```
NiCI2
1.0
0.000 3.366 3.366
3.366 0.000 3.366
3.366 3.366 0.000
Ni C I
1 1 2
Direct
0.000 0.000 0.000 Ni
0.500 0.500 0.500 C
0.250 0.250 0.250 I
0.750 0.750 0.750 I
```

total magnetization = 0.000 μB per formula unit
total DFT energy (no corrections) = -2.59 eV/atom
energy relative to the lowest polymorph listed for this composition = 578 meV per atom
formation energy from raw total energies = 1941 meV per atom
space group = Fm-3m (225)



No. 6
Computed, not measured: a relaxed structure of NiCI2 at the PBE level of DFT.

The structure in POSCAR format:
```
NiCI2
1.0
-2.840 2.840 5.942
2.840 -2.840 5.942
2.840 2.840 -5.942
Ni C I
2 2 4
Direct
0.000 0.000 0.000 Ni
0.750 0.250 0.500 Ni
0.250 0.750 0.500 C
0.500 0.500 0.000 C
0.125 0.625 0.000 I
0.375 0.375 0.500 I
0.625 0.125 0.000 I
0.875 0.875 0.500 I
```

total magnetization = 0.000 μB per formula unit
total DFT energy (no corrections) = -3.16 eV/atom
energy relative to the lowest polymorph listed for this composition = 0 meV per atom
formation energy from raw total energies = 1363 meV per atom
space group = I-42d (122)